DFT (GGA-PBE) results for an optimized crystal structure of CsEr2Cu3Te5. Values from VASP.

Structure (Quantum ESPRESSO input):
```
&SYSTEM
  ibrav = 0, nat = 22, ntyp = 4
/
ATOMIC_SPECIES
Cs 132.91 Cs.upf
Er 167.26 Er.upf
Cu 63.55 Cu.upf
Te 127.60 Te.upf
ATOMIC_POSITIONS angstrom
Cs 2.184 6.884 13.744
Cs 2.184 -6.884 4.581
Er 2.184 4.785 1.648
Er 2.184 4.785 7.514
Er 2.184 -4.785 10.810
Er 2.184 -4.785 16.677
Cu 2.184 2.409 13.744
Cu 2.184 1.296 0.496
Cu 2.184 1.296 8.667
Cu 2.184 -1.296 9.658
Cu 2.184 -1.296 17.829
Cu 2.184 -2.409 4.581
Te 2.184 5.198 10.496
Te 2.184 5.198 16.992
Te 2.184 4.009 4.581
Te 2.184 0.910 11.275
Te 2.184 0.910 16.213
Te 2.184 -0.910 2.112
Te 2.184 -0.910 7.050
Te 2.184 -4.009 13.744
Te 2.184 -5.198 1.333
Te 2.184 -5.198 7.829
CELL_PARAMETERS angstrom
2.184 -7.772 0.000
2.184 7.772 0.000
0.000 0.000 18.325
```

Results
calculated volume = 28.28 Å³ per atom
E = -91.8 eV for the cell shown
total moment = 0.00 μB/atom


DFT (GGA-PBE) results for an optimized crystal structure of Li4CuAgPb2. Values from VASP.

Structure (Quantum ESPRESSO input):
```
&SYSTEM
  ibrav = 0, nat = 8, ntyp = 4
/
ATOMIC_SPECIES
Li 6.94 Li.upf
Cu 63.55 Cu.upf
Ag 107.87 Ag.upf
Pb 207.20 Pb.upf
ATOMIC_POSITIONS angstrom
Li 0.000 0.000 0.000
Li 0.000 2.314 1.587
Li 2.314 0.000 4.962
Li 2.314 2.314 3.275
Cu 2.314 2.314 0.000
Ag 0.000 0.000 3.275
Pb 0.000 2.314 5.017
Pb 2.314 0.000 1.533
CELL_PARAMETERS angstrom
4.629 0.000 0.000
0.000 4.629 0.000
0.000 0.000 6.550
```

Results
calculated volume = 17.54 Å³ per atom
E = -23.5 eV for the cell shown


DFT (GGA-PBE) results for an optimized crystal structure of Sr2PbAu2. Values from VASP.

Structure (Quantum ESPRESSO input):
```
&SYSTEM
  ibrav = 0, nat = 5, ntyp = 3
/
ATOMIC_SPECIES
Sr 87.62 Sr.upf
Pb 207.20 Pb.upf
Au 196.97 Au.upf
ATOMIC_POSITIONS angstrom
Sr 0.000 0.000 1.695
Sr 0.000 0.000 12.638
Pb 0.000 0.000 7.166
Au 2.352 0.000 3.583
Au 0.000 2.352 3.583
CELL_PARAMETERS angstrom
-2.352 2.352 7.166
2.352 -2.352 7.166
2.352 2.352 -7.166
```

Results
calculated volume = 31.70 Å³ per atom
E = -15.2 eV for the cell shown


DFT (GGA-PBE) results for an optimized crystal structure of HgTeAsO. Values from VASP.

Structure (Quantum ESPRESSO input):
```
&SYSTEM
  ibrav = 0, nat = 8, ntyp = 4
/
ATOMIC_SPECIES
Hg 200.59 Hg.upf
Te 127.60 Te.upf
As 74.92 As.upf
O 16.00 O.upf
ATOMIC_POSITIONS angstrom
Hg 0.000 0.390 0.000
Hg 0.000 6.193 3.454
Te 2.017 3.066 4.303
Te 2.017 3.517 0.850
As 0.000 1.953 2.183
As 0.000 4.630 5.637
O 2.017 1.916 5.923
O 2.017 4.667 2.470
CELL_PARAMETERS angstrom
4.035 0.000 0.000
0.000 6.583 0.000
0.000 0.000 6.907
```

Results
calculated volume = 22.93 Å³ per atom
E = -27.1 eV for the cell shown
energy above the lowest structure with this stoichiometry = 0.1876 eV per atom


DFT (GGA-PBE) results for an optimized crystal structure of Li2Gd2O5. Values from VASP.

Structure (Quantum ESPRESSO input):
```
&SYSTEM
  ibrav = 0, nat = 9, ntyp = 3
/
ATOMIC_SPECIES
Li 6.94 Li.upf
Gd 157.25 Gd.upf
O 16.00 O.upf
ATOMIC_POSITIONS angstrom
Li 0.000 0.000 0.000
Li 0.000 0.000 4.001
Gd 2.075 2.075 1.828
Gd 2.075 2.075 6.175
O 0.000 2.075 1.124
O 0.000 2.075 6.879
O 2.075 0.000 1.124
O 2.075 0.000 6.879
O 2.075 2.075 4.001
CELL_PARAMETERS angstrom
4.150 0.000 0.000
0.000 4.150 0.000
0.000 0.000 8.003
```

Results
calculated volume = 15.32 Å³ per atom
E = -56.1 eV for the cell shown
total moment = 0.22 μB/atom
energy above the lowest structure with this stoichiometry = 0.2126 eV per atom


DFT (GGA-PBE) results for an optimized crystal structure of Cu7Ag3. Values from VASP.

Structure (Quantum ESPRESSO input):
```
&SYSTEM
  ibrav = 0, nat = 10, ntyp = 2
/
ATOMIC_SPECIES
Cu 63.55 Cu.upf
Ag 107.87 Ag.upf
ATOMIC_POSITIONS angstrom
Cu 0.000 0.000 0.000
Cu 0.299 1.371 2.233
Cu 0.432 0.000 4.404
Cu 0.608 1.371 6.490
Cu 4.779 1.371 1.005
Cu 4.954 0.000 3.091
Cu 5.088 1.371 5.262
Ag 2.462 0.000 1.242
Ag 2.693 1.371 3.747
Ag 2.924 0.000 6.253
CELL_PARAMETERS angstrom
6.652 0.000 0.000
0.000 2.742 0.000
-1.266 0.000 7.495
```

Results
calculated volume = 13.67 Å³ per atom
E = -33.8 eV for the cell shown
DFT formation energy = 0.073 eV/atom
energy above the lowest structure with this stoichiometry = 0.0278 eV per atom


DFT (GGA-PBE) results for an optimized crystal structure of Ta4AlB3. Values from VASP.

Structure (Quantum ESPRESSO input):
```
&SYSTEM
  ibrav = 0, nat = 16, ntyp = 3
/
ATOMIC_SPECIES
Ta 180.95 Ta.upf
Al 26.98 Al.upf
B 10.81 B.upf
ATOMIC_POSITIONS angstrom
Ta 0.000 0.000 3.862
Ta 0.000 0.000 8.179
Ta 0.000 0.000 15.902
Ta 0.000 0.000 20.219
Ta 0.000 1.876 1.290
Ta 0.000 1.876 10.751
Ta 1.625 0.938 13.330
Ta 1.625 0.938 22.791
Al 0.000 1.876 6.020
Al 1.625 0.938 18.061
B 0.000 0.000 0.000
B 0.000 0.000 12.040
B 0.000 1.876 14.705
B 0.000 1.876 21.416
B 1.625 0.938 2.665
B 1.625 0.938 9.376
CELL_PARAMETERS angstrom
3.249 0.000 0.000
-1.625 2.814 0.000
0.000 0.000 24.081
```

Results
calculated volume = 13.76 Å³ per atom
E = -151.2 eV for the cell shown
total moment = 0.00 μB/atom


DFT (GGA-PBE) results for an optimized crystal structure of CsUAl. Values from VASP.

Structure (Quantum ESPRESSO input):
```
&SYSTEM
  ibrav = 0, nat = 3, ntyp = 3
/
ATOMIC_SPECIES
Cs 132.91 Cs.upf
U 238.03 U.upf
Al 26.98 Al.upf
ATOMIC_POSITIONS angstrom
Cs 0.000 0.000 0.000
U 3.949 3.949 3.949
Al 1.974 1.974 1.974
CELL_PARAMETERS angstrom
0.000 3.949 3.949
3.949 0.000 3.949
3.949 3.949 0.000
```

Results
calculated volume = 41.05 Å³ per atom
E = -11.2 eV for the cell shown
total moment = 1.15 μB/atom
energy above the lowest structure with this stoichiometry = 0.0000 eV per atom